# PBE with a Hubbard U CdCoSeO, optimized geometry
# **Energy**: -67.9 eV for the cell shown
# **ρ**: 5.78 Mg/m³
# **Volume**: 76 Å³/f.u.
data_CdCoSeO
_chemical_formula_sum 'Cd4 Co4 Se4 O4'
_space_group_name_H-M_alt 'P c a 21'
_space_group_IT_number 29
_space_group_name_Hall 'P 2c -2ac'
_cell_length_a 6.5190
_cell_length_b 7.4582
_cell_length_c 6.2900
_cell_angle_alpha 90.00
_cell_angle_beta 90.00
_cell_angle_gamma 90.00
loop_
_atom_site_label
_atom_site_type_symbol
_atom_site_fract_x
_atom_site_fract_y
_atom_site_fract_z
Cd1 Cd 0.1146 0.1060 0.0000
Co1 Co 0.0579 0.6570 0.0813
Se1 Se 0.0840 0.6328 0.6948
O1 O 0.0723 0.1178 0.6478